## CsF (PBE)

Data for crystalline CsF at its relaxed geometry.

Properties
SG: I4/mcm, No. 140
D(E_F) in states/eV/f.u.: 0.0
Formation energy (no corrections) in eV per atom: -2.6176

```
data_CsF
_chemical_formula_sum 'Cs8 F8'
_symmetry_space_group_name_H-M 'P 1'
_symmetry_Int_Tables_number 1
_symmetry_space_group_name_Hall 'P 1'
_cell_length_a 10.0350
_cell_length_b 10.0350
_cell_length_c 6.0545
_cell_angle_alpha 90.00
_cell_angle_beta 90.00
_cell_angle_gamma 90.00
loop_
_atom_site_label
_atom_site_type_symbol
_atom_site_fract_x
_atom_site_fract_y
_atom_site_fract_z
Cs1 Cs 0.8509 0.6491 0.5000
Cs2 Cs 0.1491 0.3509 0.5000
F1 F 0.6446 0.1446 0.0000
F2 F 0.8554 0.3554 0.5000
F3 F 0.3554 0.8554 0.0000
Cs3 Cs 0.8509 0.3509 0.0000
Cs4 Cs 0.3509 0.8509 0.5000
F4 F 0.1446 0.6446 0.5000
F5 F 0.3554 0.1446 0.5000
Cs5 Cs 0.1491 0.6491 0.0000
F6 F 0.6446 0.8554 0.5000
Cs6 Cs 0.6491 0.1491 0.5000
Cs7 Cs 0.3509 0.1491 0.0000
F7 F 0.1446 0.3554 0.0000
F8 F 0.8554 0.6446 0.0000
Cs8 Cs 0.6491 0.8509 0.0000
```

---

## Cs2F13 (PBE)

Data for crystalline Cs2F13 at its relaxed geometry.

Properties
SG: P-1, No. 2
Formation energy (no corrections) in eV per atom: -0.7932

```
data_Cs2F13
_chemical_formula_sum 'Cs2 F13'
_symmetry_space_group_name_H-M 'P 1'
_symmetry_Int_Tables_number 1
_symmetry_space_group_name_Hall 'P 1'
_cell_length_a 6.8832
_cell_length_b 10.1854
_cell_length_c 17.6794
_cell_angle_alpha 34.05
_cell_angle_beta 30.39
_cell_angle_gamma 57.45
loop_
_atom_site_label
_atom_site_type_symbol
_atom_site_fract_x
_atom_site_fract_y
_atom_site_fract_z
F1 F 0.4829 0.8815 0.6041
F2 F 0.5000 0.5000 0.5000
F3 F 0.0761 0.7837 0.3031
F4 F 0.0474 0.8076 0.6328
F5 F 0.3279 0.4367 0.1830
F6 F 0.9526 0.1924 0.3672
F7 F 0.6567 0.3781 0.5790
F8 F 0.6200 0.9191 0.8997
F9 F 0.3433 0.6219 0.4210
F10 F 0.5171 0.1185 0.3959
F11 F 0.6721 0.5633 0.8170
F12 F 0.9239 0.2163 0.6969
F13 F 0.3800 0.0809 0.1003
Cs1 Cs 0.9842 0.2431 0.0045
Cs2 Cs 0.0158 0.7569 0.9955
```

---

We obtain energy values of -3.980, -2.529 eV per atom for the records listed above, in that order.